(1)
DFT (GGA-PBE) results for crystalline SiAg2Bi at its relaxed geometry.

- excess energy over the best structure of this formula in the dataset (meV/atom) = 0
- energy relative to the elements, uncorrected (eV per atom) = 0.314

abc: 4.646 4.646 17.302
angles: 90.00 90.00 90.00
Space group I-42d (No. 122)
Symmetry-distinct sites (fractional):
Si  0.000  0.000  0.000 (multiplicity 4)
Ag  0.166  0.250  0.125 (multiplicity 8)
Bi  0.000  0.000  0.500 (multiplicity 4)

=====

(2)
DFT (GGA-PBE) results for crystalline Si2Ag2Bi at its relaxed geometry.

- excess energy over the best structure of this formula in the dataset (meV/atom) = 52
- energy relative to the elements, uncorrected (eV per atom) = 0.335

abc: 3.948 3.948 13.032
angles: 90.00 90.00 90.00
Space group I4/mmm (No. 139)
Symmetry-distinct sites (fractional):
Si  0.000  0.500  0.250 (multiplicity 4)
Ag  0.000  0.000  0.110 (multiplicity 4)
Bi  0.000  0.000  0.500 (multiplicity 2)

=====

(3)
DFT (GGA-PBE) results for crystalline Si2Ag2Bi at its relaxed geometry.

- excess energy over the best structure of this formula in the dataset (meV/atom) = 0
- energy relative to the elements, uncorrected (eV per atom) = 0.283

abc: 4.276 4.276 11.054
angles: 90.00 90.00 90.00
Space group I4/mmm (No. 139)
Symmetry-distinct sites (fractional):
Si  0.000  0.000  0.105 (multiplicity 4)
Ag  0.000  0.500  0.250 (multiplicity 4)
Bi  0.000  0.000  0.500 (multiplicity 2)

=====

(4)
DFT (GGA-PBE) results for crystalline SiAg2BiTe at its relaxed geometry.

- energy relative to the elements, uncorrected (eV per atom) = 0.854

abc: 5.132 5.132 6.312
angles: 90.00 90.00 90.00
Space group P4/mmm (No. 123)
Symmetry-distinct sites (fractional):
Si  0.000  0.000  0.000 (multiplicity 1)
Ag  0.000  0.500  0.500 (multiplicity 2)
Bi  0.500  0.500  0.000 (multiplicity 1)
Te  0.500  0.500  0.500 (multiplicity 1)

=====

(5)
DFT (GGA-PBE) results for crystalline Sm12AgBi6 at its relaxed geometry.

- formation energy from the elements (kJ/mol of formula units) = -746.5

abc: 13.7268 13.7268 12.3949
angles: 90.00 90.00 120.00
Space group R-3 (No. 148, hexagonal axes)
Symmetry-distinct sites (fractional):
Sm  0.0257  0.1870  0.3836 (multiplicity 18)
Sm  0.0635  0.2045  0.8816 (multiplicity 18)
Ag  0.0000  0.0000  0.0000 (multiplicity 3)
Bi  0.0397  0.2799  0.6388 (multiplicity 18)

=====

(6)
DFT (GGA-PBE) results for crystalline Sm4AgBi at its relaxed geometry.

- formation energy from the elements (kJ/mol of formula units) = -122.9

abc: 5.702 21.060 6.511
angles: 90.00 90.00 90.00
Space group Cmcm (No. 63)
Symmetry-distinct sites (fractional):
Sm  0.000  0.057  0.250 (multiplicity 4)
Sm  0.000  0.208  0.003 (multiplicity 8)
Sm  0.000  0.381  0.250 (multiplicity 4)
Ag  0.000  0.081  0.750 (multiplicity 4)
Bi  0.000  0.352  0.750 (multiplicity 4)

=====

(7)
DFT (GGA-PBE) results for crystalline Sm2AgBi at its relaxed geometry.

- formation energy from the elements (kJ/mol of formula units) = -193.8

abc: 5.185 5.185 4.145
angles: 90.00 90.00 90.00
Space group P4/mmm (No. 123)
Symmetry-distinct sites (fractional):
Sm  0.000  0.500  0.000 (multiplicity 2)
Ag  0.000  0.000  0.500 (multiplicity 1)
Bi  0.500  0.500  0.500 (multiplicity 1)

=====

(8)
DFT (GGA-PBE) results for crystalline Sm2AgBi at its relaxed geometry.

- formation energy from the elements (kJ/mol of formula units) = -200.2

abc: 6.395 4.561 8.531
angles: 90.00 111.05 90.00
Space group P2_1/m (No. 11)
Symmetry-distinct sites (fractional):
Sm  0.204  0.250  0.438 (multiplicity 2)
Sm  0.219  0.250  0.915 (multiplicity 2)
Ag  0.332  0.750  0.705 (multiplicity 2)
Bi  0.322  0.750  0.206 (multiplicity 2)

=====

no.,DOS(E_F) (states/eV/atom),ρ (kg/m3)
1,0.346,8054
2,0.325,7864
3,0.333,7902
4,0.583,5798
5,0.772,7798
6,1.077,7801
7,0.822,9203
8,1.043,8833